A relaxed SrCo5 crystal. Source: Alexandria via LeMat-Bulk, functional PBE.

a = 5.6141 Å, b = 5.6141 Å, c = 5.9436 Å
α = 88.72°, β = 88.72°, γ = 28.49°
Each line ends with the local moment (μB).
Fractional coordinates of all 6 atoms:
Sr  0.3313  0.3313  0.0226  -0.10
Co  0.0671  0.0671  0.0358  1.47
Co  0.2638  0.2638  0.5288  1.66
Co  0.6131  0.6131  0.3354  1.62
Co  0.6043  0.6043  0.7261  1.64
Co  0.9536  0.9536  0.5179  1.81

Computed properties:
- SG = Cm (8)
- DFT total energy (eV for the cell shown) = -34.89


A relaxed CeY2Pb5 crystal. Source: Alexandria via LeMat-Bulk, functional PBE.

a = 6.7502 Å, b = 6.7503 Å, c = 6.7500 Å
α = 106.36°, β = 106.36°, γ = 115.88°
Each line ends with the local moment (μB).
Fractional coordinates of all 8 atoms:
Ce  0.7784  0.7782  0.0000  0.86
Y  0.2778  0.7779  0.5002  0.05
Y  0.7776  0.2778  0.4998  0.05
Pb  0.2779  0.2782  0.5004  0.01
Pb  0.2781  0.7775  0.0000  0.01
Pb  0.7779  0.2780  0.0000  0.01
Pb  0.7776  0.7778  0.4996  0.01
Pb  0.2778  0.2775  0.0000  0.00

Computed properties:
- SG = I4/mmm (139)
- DFT total energy (eV for the cell shown) = -40.27


A relaxed ZnSbS2O crystal. Source: Alexandria via LeMat-Bulk, functional PBE.

a = 4.3312 Å, b = 4.7099 Å, c = 4.3312 Å
α = 90.00°, β = 90.00°, γ = 90.00°
Fractional coordinates of all 5 atoms:
Sb  0.0000  0.5000  0.0000
Zn  0.5000  0.5000  0.5000
S  0.0000  0.0000  0.5000
S  0.5000  0.0000  0.0000
O  0.0000  0.0000  0.0000

Computed properties:
- SG = P4/mmm (123)
- formation energy from raw total energies (eV/atom) = 0.4928


A relaxed PrHoRuRh crystal. Source: Alexandria via LeMat-Bulk, functional PBE.

a = 4.9185 Å, b = 4.9185 Å, c = 4.9185 Å
α = 60.00°, β = 60.00°, γ = 60.00°
Fractional coordinates of all 4 atoms:
Pr  0.0000  0.0000  0.0000
Ru  0.2500  0.2500  0.2500
Rh  0.7500  0.7500  0.7500
Ho  0.5000  0.5000  0.5000

Computed properties:
- SG = F-43m (216)
- DFT total energy (eV for the cell shown) = -27.80


A relaxed NiRuPt crystal. Source: Alexandria via LeMat-Bulk, functional PBE.

a = 4.0169 Å, b = 4.0169 Å, c = 4.0169 Å
α = 60.00°, β = 60.00°, γ = 60.00°
Fractional coordinates of all 3 atoms:
Ni  0.7500  0.7500  0.7500
Pt  0.0000  0.0000  0.0000
Ru  0.5000  0.5000  0.5000

Computed properties:
- SG = F-43m (216)
- excess energy over the best structure of this formula in the dataset (meV per atom) = 433


A relaxed SmCdAg crystal. Source: Alexandria via LeMat-Bulk, functional PBE.

a = 4.3519 Å, b = 4.3519 Å, c = 4.3519 Å
α = 76.40°, β = 76.40°, γ = 76.40°
Fractional coordinates of all 3 atoms:
Sm  0.6947  0.6947  0.6947
Cd  0.0571  0.0571  0.0571
Ag  0.3614  0.3614  0.3614

Computed properties:
- SG = R3m (160)
- DFT total energy (eV for the cell shown) = -9.02


A relaxed LaTa3C crystal. Source: Alexandria via LeMat-Bulk, functional PBE.

a = 4.5050 Å, b = 4.5050 Å, c = 4.5050 Å
α = 90.00°, β = 90.00°, γ = 90.00°
Fractional coordinates of all 5 atoms:
C  0.0000  0.0000  0.0000
La  0.5000  0.5000  0.5000
Ta  0.0000  0.5000  0.0000
Ta  0.0000  0.0000  0.5000
Ta  0.5000  0.0000  0.0000

Computed properties:
- SG = Pm-3m (221)
- excess energy over the best structure of this formula in the dataset (meV per atom) = 0


A relaxed TlCr4Hg crystal. Source: Alexandria via LeMat-Bulk, functional PBE.

a = 5.0401 Å, b = 5.0401 Å, c = 5.0401 Å
α = 60.00°, β = 60.00°, γ = 60.00°
Fractional coordinates of all 6 atoms:
Tl  0.0000  0.0000  0.0000
Cr  0.8626  0.3791  0.3791
Cr  0.3791  0.3791  0.8626
Cr  0.3791  0.8626  0.3791
Cr  0.3791  0.3791  0.3791
Hg  0.7500  0.7500  0.7500

Computed properties:
- SG = F-43m (216)
- DFT total energy (eV for the cell shown) = -36.89


A relaxed NiAgS crystal. Source: Alexandria via LeMat-Bulk, functional PBE.

a = 3.2041 Å, b = 3.2232 Å, c = 10.4187 Å
α = 90.00°, β = 90.00°, γ = 119.80°
Fractional coordinates of all 6 atoms:
S  0.6103  0.2206  0.0000
S  0.2780  0.5560  0.5000
Ni  0.6104  0.2209  0.3818
Ni  0.6104  0.2209  0.6182
Ag  0.2787  0.5574  0.8128
Ag  0.2787  0.5574  0.1872

Computed properties:
- SG = Amm2 (38)
- formation energy from raw total energies (eV/atom) = 0.1032


A relaxed DyFeOs crystal. Source: Alexandria via LeMat-Bulk, functional PBE.

a = 5.2798 Å, b = 5.2798 Å, c = 5.2798 Å
α = 89.11°, β = 120.49°, γ = 120.54°
Each line ends with the local moment (μB).
Fractional coordinates of all 6 atoms:
Dy  0.2500  0.1270  0.8770  -0.28
Dy  0.7500  0.8730  0.1230  -0.28
Fe  0.0000  0.5000  0.5000  2.31
Fe  0.5000  0.0000  0.5000  2.31
Os  0.5000  0.5000  0.5000  0.27
Os  0.0000  0.5000  0.0000  0.27

Computed properties:
- SG = Imma (74)
- excess energy over the best structure of this formula in the dataset (meV per atom) = 0


A relaxed Pm2TiReN5 crystal. Source: Alexandria via LeMat-Bulk, functional PBE.

a = 3.3538 Å, b = 6.8500 Å, c = 10.3797 Å
α = 90.00°, β = 90.00°, γ = 103.23°
Fractional coordinates of all 18 atoms:
Pm  0.8719  0.7030  0.8017
Pm  0.1073  0.2225  0.6865
Pm  0.1281  0.2970  0.3017
Pm  0.8928  0.7774  0.1865
Ti  0.7145  0.5611  0.5158
Ti  0.2855  0.4389  0.0158
Re  0.5410  0.0617  0.9578
Re  0.4591  0.9384  0.4577
N  0.3922  0.7295  0.9998
N  0.6648  0.3558  0.8836
N  0.4959  0.9800  0.7849
N  0.3049  0.5669  0.6507
N  0.9453  0.9033  0.5432
N  0.6078  0.2705  0.4998
N  0.3352  0.6442  0.3836
N  0.5041  0.0200  0.2848
N  0.6951  0.4331  0.1507
N  0.0547  0.0968  0.0433

Computed properties:
- SG = P2_1 (4)
- formation energy from raw total energies (eV/atom) = -1.0246


A relaxed Tb3DyIn3 crystal. Source: Alexandria via LeMat-Bulk, functional PBE.

a = 9.3400 Å, b = 9.3400 Å, c = 9.3400 Å
α = 90.00°, β = 90.00°, γ = 90.00°
Fractional coordinates of all 28 atoms:
Tb  0.8250  0.3250  0.1750
Tb  0.9262  0.9262  0.9262
Tb  0.8247  0.6753  0.3247
Tb  0.1750  0.8250  0.3250
Tb  0.1753  0.1753  0.1753
Tb  0.3247  0.8247  0.6753
Tb  0.0738  0.4262  0.5738
Tb  0.3250  0.1750  0.8250
Tb  0.6753  0.3247  0.8247
Tb  0.6750  0.6750  0.6750
Tb  0.5738  0.0738  0.4262
Tb  0.4262  0.5738  0.0738
Dy  0.0753  0.5753  0.9247
Dy  0.9247  0.0753  0.5753
Dy  0.4247  0.4247  0.4247
Dy  0.5753  0.9247  0.0753
In  0.7511  0.6257  0.9997
In  0.8743  0.0003  0.2511
In  0.9997  0.7511  0.6257
In  0.1257  0.5003  0.2489
In  0.2489  0.1257  0.5003
In  0.2511  0.8743  0.0003
In  0.0003  0.2511  0.8743
In  0.3743  0.4997  0.7489
In  0.5003  0.2489  0.1257
In  0.6257  0.9997  0.7511
In  0.7489  0.3743  0.4997
In  0.4997  0.7489  0.3743

Computed properties:
- SG = P2_13 (198)
- excess energy over the best structure of this formula in the dataset (meV per atom) = 14


A relaxed HfRh3S crystal. Source: Alexandria via LeMat-Bulk, functional PBE.

a = 4.7834 Å, b = 4.7834 Å, c = 4.7834 Å
α = 90.00°, β = 90.00°, γ = 90.00°
Each line ends with the local moment (μB).
Fractional coordinates of all 5 atoms:
Rh  0.0000  0.5000  0.0000  0.24
Rh  0.0000  0.0000  0.5000  0.21
Rh  0.5000  0.0000  0.0000  0.12
S  0.5000  0.5000  0.5000  0.11
Hf  0.0000  0.0000  0.0000  -0.04

Computed properties:
- SG = Pm-3m (221)
- formation energy from raw total energies (eV/atom) = 1.1335
- excess energy over the best structure of this formula in the dataset (meV per atom) = 1289


A relaxed VCo2SiW crystal. Source: Alexandria via LeMat-Bulk, functional PBE.

a = 4.0824 Å, b = 4.5491 Å, c = 4.0824 Å
α = 90.00°, β = 90.00°, γ = 90.00°
Each line ends with the local moment (μB).
Fractional coordinates of all 5 atoms:
Si  0.0000  0.0000  0.0000  -0.02
Co  0.0000  0.0000  0.5000  0.97
Co  0.5000  0.0000  0.0000  1.01
W  0.0000  0.5000  0.0000  0.45
V  0.5000  0.5000  0.5000  -1.32

Computed properties:
- SG = P4/mmm (123)
- formation energy from raw total energies (eV/atom) = 0.7805


A relaxed SrAlN3 crystal. Source: Alexandria via LeMat-Bulk, functional PBE.

a = 3.8926 Å, b = 3.8926 Å, c = 3.8926 Å
α = 90.00°, β = 90.00°, γ = 90.00°
Fractional coordinates of all 5 atoms:
Sr  0.5000  0.5000  0.5000
Al  0.0000  0.0000  0.0000
N  0.0000  0.5000  0.0000
N  0.0000  0.0000  0.5000
N  0.5000  0.0000  0.0000

Computed properties:
- SG = Pm-3m (221)
- formation energy from raw total energies (eV/atom) = 0.1307


A relaxed Ge3BP4 crystal. Source: Alexandria via LeMat-Bulk, functional PBE.

a = 5.7140 Å, b = 7.2315 Å, c = 7.1168 Å
α = 90.00°, β = 90.00°, γ = 90.00°
Fractional coordinates of all 16 atoms:
Ge  0.5116  0.8968  0.0000
Ge  0.0192  0.6620  0.2123
Ge  0.5192  0.3380  0.2877
Ge  0.0116  0.1032  0.5000
Ge  0.5192  0.3380  0.7123
Ge  0.0192  0.6620  0.7877
B  0.0048  0.1974  0.0000
B  0.5048  0.8026  0.5000
P  0.0979  0.9310  0.0000
P  0.6596  0.2073  0.0000
P  0.1015  0.3133  0.2408
P  0.6015  0.6867  0.2592
P  0.1596  0.7927  0.5000
P  0.5979  0.0690  0.5000
P  0.6015  0.6867  0.7408
P  0.1015  0.3133  0.7592

Computed properties:
- SG = Pmn2_1 (31)
- DFT total energy (eV for the cell shown) = -83.21


A relaxed Tb6BiTe3P2 crystal. Source: Alexandria via LeMat-Bulk, functional PBE.

a = 4.2241 Å, b = 8.6716 Å, c = 9.6432 Å
α = 103.93°, β = 102.65°, γ = 90.00°
Fractional coordinates of all 12 atoms:
Tb  0.3274  0.8773  0.6548
Tb  0.6772  0.5646  0.3543
Tb  0.6726  0.1227  0.3452
Tb  0.0181  0.2605  0.0362
Tb  0.9819  0.7395  0.9638
Tb  0.3228  0.4354  0.6457
Bi  0.5000  0.0000  0.0000
Te  0.5000  0.5000  0.0000
Te  0.8398  0.1663  0.6796
Te  0.1602  0.8337  0.3204
P  0.8300  0.6610  0.6599
P  0.1700  0.3390  0.3401

Computed properties:
- SG = C2/m (12)
- formation energy from raw total energies (eV/atom) = -1.4040


A relaxed CaCoIrN2 crystal. Source: Alexandria via LeMat-Bulk, functional PBE.

a = 3.8160 Å, b = 6.1384 Å, c = 3.8160 Å
α = 90.00°, β = 90.00°, γ = 90.00°
Each line ends with the local moment (μB).
Fractional coordinates of all 5 atoms:
Ca  0.0000  0.5000  0.0000  -0.07
Ir  0.0000  0.0000  0.0000  0.00
Co  0.5000  0.5000  0.5000  1.78
N  0.0000  0.0000  0.5000  0.05
N  0.5000  0.0000  0.0000  0.03

Computed properties:
- SG = P4/mmm (123)
- formation energy from raw total energies (eV/atom) = 1.0773


A relaxed YMgAs2Br crystal. Source: Alexandria via LeMat-Bulk, functional PBE.

a = 4.9596 Å, b = 4.9596 Å, c = 5.1531 Å
α = 90.00°, β = 90.00°, γ = 90.00°
Fractional coordinates of all 5 atoms:
Y  0.5000  0.5000  0.5000
As  0.0000  0.5000  0.0000
As  0.5000  0.0000  0.0000
Mg  0.0000  0.0000  0.0000
Br  0.0000  0.0000  0.5000

Computed properties:
- SG = P4/mmm (123)
- formation energy from raw total energies (eV/atom) = -0.2943
- excess energy over the best structure of this formula in the dataset (meV per atom) = 0


A relaxed SmDy2Pa2Ru5 crystal. Source: Alexandria via LeMat-Bulk, functional PBE.

a = 3.8931 Å, b = 10.4496 Å, c = 10.4496 Å
α = 90.00°, β = 90.00°, γ = 90.00°
Fractional coordinates of all 20 atoms:
Sm  0.0000  0.0000  0.0000
Sm  0.0000  0.5000  0.5000
Dy  0.0000  0.6747  0.1747
Dy  0.0000  0.3253  0.8253
Dy  0.0000  0.1747  0.3253
Dy  0.0000  0.8253  0.6747
Pa  0.0000  0.1270  0.6270
Pa  0.0000  0.8730  0.3730
Pa  0.0000  0.6270  0.8730
Pa  0.0000  0.3730  0.1270
Ru  0.5000  0.2173  0.0706
Ru  0.5000  0.7827  0.9294
Ru  0.5000  0.0706  0.7827
Ru  0.5000  0.7173  0.4294
Ru  0.5000  0.9294  0.2173
Ru  0.5000  0.2827  0.5706
Ru  0.5000  0.5706  0.7173
Ru  0.5000  0.4294  0.2827
Ru  0.5000  0.5000  0.0000
Ru  0.5000  0.0000  0.5000

Computed properties:
- SG = P4/mbm (127)
- DFT total energy (eV for the cell shown) = -164.61